(1)
Pm2Cd3Hg | PBE | optimized geometry

Structure (POSCAR):
```
Pm2Cd3Hg
1.0
0.0000 5.0293 8.7318
3.4471 0.0000 8.7318
3.4471 5.0293 0.0000
Pm Cd Hg
4 6 2
direct
0.2468 0.7532 0.7532
0.2500 0.2500 0.2500
0.7500 0.7500 0.7500
0.7532 0.2468 0.2468
0.1686 0.6654 0.3346
0.3341 0.3341 0.6659
0.3346 0.8314 0.1686
0.6654 0.1686 0.8314
0.6659 0.6659 0.3341
0.8314 0.3346 0.6654
0.1668 0.1668 0.8332
0.8332 0.8332 0.1668
```

Output
The formation energy is -0.383 eV per atom. As for the crystal system: orthorhombic.


(2)
Dy2UN4 | PBE | optimized geometry

Structure (POSCAR):
```
Dy2UN4
1.0
5.7787 0.0000 0.0000
0.0000 9.7003 0.0000
0.0000 0.0000 3.5180
Dy U N
4 2 8
direct
0.0632 0.1773 0.0000
0.4368 0.6773 0.0000
0.5632 0.3227 0.0000
0.9368 0.8227 0.0000
0.0000 0.5000 0.5000
0.5000 0.0000 0.5000
0.1467 0.6957 0.5000
0.2320 0.4570 0.0000
0.2680 0.9570 0.0000
0.3533 0.1957 0.5000
0.6467 0.8043 0.5000
0.7320 0.0430 0.0000
0.7680 0.5430 0.0000
0.8533 0.3043 0.5000
```

Output
For the total DFT energy (no corrections), the calculation gives -9.29 eV/atom. As for the crystal system: orthorhombic.


(3)
KErPO | PBE | optimized geometry

Structure (POSCAR):
```
KErPO
1.0
3.4028 0.0000 0.0000
0.0000 7.7106 0.0000
0.0000 0.0000 7.5190
K Er P O
2 2 2 2
direct
0.0000 0.0440 0.0000
0.0000 0.9560 0.5000
0.5000 0.3771 0.3577
0.5000 0.6229 0.8577
0.5000 0.2926 0.7179
0.5000 0.7074 0.2179
0.0000 0.2456 0.2780
0.0000 0.7544 0.7780
```

Output
The value obtained for the relative energy among the computed polymorphs is 0 meV per atom. As for the crystal system: orthorhombic.


(4)
YBeAu | PBE | optimized geometry

Structure (POSCAR):
```
YBeAu
1.0
0.0000 3.2938 3.2938
3.2938 0.0000 3.2938
3.2938 3.2938 0.0000
Y Be Au
1 1 1
direct
0.0000 0.0000 0.0000
0.2500 0.2500 0.2500
0.7500 0.7500 0.7500
```

Output
The value obtained for the relative energy among the computed polymorphs is 410 meV per atom. As for the crystal system: cubic.


(5)
MgGaAg | PBE | optimized geometry

Structure (POSCAR):
```
MgGaAg
1.0
-1.5789 2.0157 4.2762
1.5789 -2.0157 4.2762
1.5789 2.0157 -4.2762
Mg Ga Ag
1 1 1
direct
0.0000 0.0000 0.0000
0.6682 0.6682 0.0000
0.3350 0.3350 0.0000
```

Output
For the total DFT energy (no corrections), the calculation gives -2.60 eV/atom. As for the crystal system: orthorhombic.


(6)
HfSc2Tl | PBE | optimized geometry

Structure (POSCAR):
```
HfSc2Tl
1.0
0.0000 3.5518 3.5518
3.5518 0.0000 3.5518
3.5518 3.5518 0.0000
Hf Sc Tl
1 2 1
direct
0.0000 0.0000 0.0000
0.2500 0.2500 0.2500
0.5000 0.5000 0.5000
0.7500 0.7500 0.7500
```

Output
For the total DFT energy (no corrections), the calculation gives -6.14 eV/atom. As for the crystal system: cubic.


(7)
LuAsPO | PBE | optimized geometry

Structure (POSCAR):
```
LuAsPO
1.0
4.7615 0.0000 0.0000
0.0000 6.7064 0.0000
0.0000 0.0000 6.2010
Lu As P O
2 2 2 2
direct
0.0000 0.1668 0.0000
0.0000 0.8332 0.5000
0.5000 0.3119 0.5734
0.5000 0.6881 0.0734
0.5000 0.3722 0.9388
0.5000 0.6278 0.4388
0.0000 0.0635 0.2992
0.0000 0.9365 0.7992
```

Output
The value obtained for the relative energy among the computed polymorphs is 0 meV per atom. As for the crystal system: orthorhombic.


(8)
SmTmPt | PBE | optimized geometry

Structure (POSCAR):
```
SmTmPt
1.0
0.0000 3.3651 3.3651
3.3651 0.0000 3.3651
3.3651 3.3651 0.0000
Sm Tm Pt
1 1 1
direct
0.0000 0.0000 0.0000
0.7500 0.7500 0.7500
0.5000 0.5000 0.5000
```

Output
The value obtained for the relative energy among the computed polymorphs is 798 meV per atom. The formation energy is -0.147 eV per atom. As for the crystal system: cubic.


(9)
Gd2ScIn3Pt2Au | PBE | optimized geometry

Structure (POSCAR):
```
Gd2ScIn3Pt2Au
1.0
3.8560 0.0000 0.0000
0.0000 6.6432 3.8538
0.0000 -6.6432 3.8538
Gd Sc In Pt Au
2 1 3 2 1
direct
0.0000 0.2044 0.7956
0.0000 0.7956 0.2044
0.0000 0.3851 0.3851
0.5000 0.0659 0.0659
0.5000 0.5268 0.7898
0.5000 0.7898 0.5268
0.5000 0.1342 0.4598
0.5000 0.4598 0.1342
0.0000 0.7919 0.7919
```

Output
For the total DFT energy (no corrections), the calculation gives -5.23 eV/atom. As for the crystal system: orthorhombic.


(10)
Er3In3Cu2Pt | PBE | optimized geometry

Structure (POSCAR):
```
Er3In3Cu2Pt
1.0
7.4768 0.0000 0.0000
-3.7384 6.4751 0.0000
0.0000 0.0000 3.9466
Er In Cu Pt
3 3 2 1
direct
0.0000 0.5975 0.0000
0.4025 0.4025 0.0000
0.5975 0.0000 0.0000
0.0000 0.2653 0.5000
0.2653 0.0000 0.5000
0.7347 0.7347 0.5000
0.3333 0.6667 0.5000
0.6667 0.3333 0.5000
0.0000 0.0000 0.0000
```

Output
For the total DFT energy (no corrections), the calculation gives -4.51 eV/atom. As for the crystal system: hexagonal.


(11)
LaGd2Mg3Ag3 | PBE | optimized geometry

Structure (POSCAR):
```
LaGd2Mg3Ag3
1.0
4.2859 0.0000 0.0000
0.0000 13.4199 0.0000
0.0000 0.0000 7.7451
La Gd Mg Ag
2 4 6 6
direct
0.0000 0.0434 0.0000
0.0000 0.9566 0.5000
0.0000 0.2565 0.3770
0.0000 0.4584 0.9994
0.0000 0.5416 0.4994
0.0000 0.7435 0.8770
0.5000 0.1351 0.6690
0.5000 0.2567 0.0354
0.5000 0.3742 0.6700
0.5000 0.6258 0.1700
0.5000 0.7433 0.5354
0.5000 0.8649 0.1690
0.0000 0.2547 0.7891
0.0000 0.7453 0.2891
0.5000 0.0910 0.2946
0.5000 0.4186 0.2934
0.5000 0.5814 0.7934
0.5000 0.9090 0.7946
```

Output
For the total DFT energy (no corrections), the calculation gives -3.32 eV/atom. As for the crystal system: orthorhombic.


(12)
Be2HgW | PBE | optimized geometry

Structure (POSCAR):
```
Be2HgW
1.0
0.0000 3.0852 3.0852
3.0852 0.0000 3.0852
3.0852 3.0852 0.0000
Be Hg W
2 1 1
direct
0.0000 0.0000 0.0000
0.2500 0.2500 0.2500
0.7500 0.7500 0.7500
0.5000 0.5000 0.5000
```

Output
For the total DFT energy (no corrections), the calculation gives -4.17 eV/atom. As for the crystal system: cubic.